Below is an optimized crystal structure of Pm5Pr3Tm2, with properties calculated at the GGA-PBE level.

Unit cell a=10.063 b=10.063 c=10.063 alpha=123.30 beta=93.83 gamma=112.59
Fractional coordinates of all 20 atoms:
Pm  0.001  0.250  0.751
Pm  0.118  0.103  0.221
Pm  0.250  0.250  0.000
Pm  0.382  0.603  0.985
Pm  0.499  0.250  0.249
Pm  0.501  0.750  0.751
Pm  0.618  0.397  0.015
Pm  0.750  0.750  0.000
Pm  0.882  0.897  0.779
Pm  0.999  0.750  0.249
Pr  0.128  0.752  0.880
Pr  0.250  0.750  0.500
Pr  0.372  0.252  0.623
Pr  0.628  0.748  0.377
Pr  0.750  0.250  0.500
Pr  0.872  0.248  0.120
Tm  0.127  0.417  0.544
Tm  0.373  0.917  0.290
Tm  0.627  0.083  0.710
Tm  0.873  0.583  0.456

Properties
Calculated formation energy ... 0.359 eV per atom
SG ... No. 72


Below is an optimized crystal structure of VFeGe, with properties calculated at the GGA-PBE level.

Unit cell a=4.033 b=4.033 c=2.714 alpha=90.00 beta=90.00 gamma=120.00
Fractional coordinates of all 3 atoms:
V  0.000  0.000  0.000
Fe  0.667  0.333  0.502
Ge  0.333  0.667  0.500

Properties
Calculated formation energy ... -0.167 eV per atom
SG ... No. 156


Below is an optimized crystal structure of MgTlRe, with properties calculated at the GGA-PBE level.

Unit cell a=5.242 b=5.242 c=5.242 alpha=148.37 beta=131.41 gamma=59.14
Fractional coordinates of all 3 atoms:
Mg  0.000  0.000  0.000
Tl  0.681  0.681  0.000
Re  0.356  0.356  0.000

Properties
Calculated formation energy ... 0.707 eV per atom
SG ... No. 44


Below is an optimized crystal structure of Tl2Ga2Bi, with properties calculated at the GGA-PBE level.

Unit cell a=10.346 b=10.346 c=10.346 alpha=159.12 beta=159.12 gamma=29.70
Fractional coordinates of all 5 atoms:
Tl  0.112  0.112  0.000
Tl  0.888  0.888  0.000
Ga  0.250  0.750  0.500
Ga  0.750  0.250  0.500
Bi  0.500  0.500  0.000

Properties
Calculated formation energy ... 0.093 eV per atom
SG ... No. 139


Below is an optimized crystal structure of TeIrPt2, with properties calculated at the GGA-PBE level.

Unit cell a=9.402 b=9.402 c=9.402 alpha=18.18 beta=18.18 gamma=18.18
Fractional coordinates of all 4 atoms:
Te  0.000  0.000  0.000
Ir  0.500  0.500  0.500
Pt  0.244  0.244  0.244
Pt  0.756  0.756  0.756

Properties
Formation energy from raw total energies ... 0.413 eV/atom
SG ... No. 166


Below is an optimized crystal structure of OsSeCl2, with properties calculated at the GGA-PBE level.

Unit cell a=4.683 b=4.683 c=4.683 alpha=60.00 beta=60.00 gamma=60.00
Fractional coordinates of all 4 atoms:
Os  0.000  0.000  0.000
Se  0.500  0.500  0.500
Cl  0.250  0.250  0.250
Cl  0.750  0.750  0.750

Properties
Formation energy from raw total energies ... 1.404 eV/atom
SG ... No. 225


Below is an optimized crystal structure of Li4HgTe, with properties calculated at the GGA-PBE level.

Unit cell a=5.559 b=5.559 c=5.559 alpha=60.00 beta=60.00 gamma=60.00
Fractional coordinates of all 6 atoms:
Li  0.376  0.376  0.376
Li  0.376  0.376  0.873
Li  0.376  0.873  0.376
Li  0.873  0.376  0.376
Hg  0.750  0.750  0.750
Te  0.000  0.000  0.000

Properties
Formation energy from raw total energies ... -0.248 eV/atom
SG ... No. 216


Below is an optimized crystal structure of CeHo3Pb2, with properties calculated at the GGA-PBE level.

Unit cell a=9.049 b=9.049 c=9.049 alpha=131.07 beta=71.15 gamma=131.77
Fractional coordinates of all 12 atoms:
Ce  0.000  0.000  0.000
Ce  0.500  0.500  0.000
Ho  0.041  0.250  0.791
Ho  0.250  0.750  0.500
Ho  0.459  0.250  0.209
Ho  0.541  0.750  0.791
Ho  0.750  0.250  0.500
Ho  0.959  0.750  0.209
Pb  0.144  0.678  0.822
Pb  0.356  0.178  0.534
Pb  0.644  0.822  0.466
Pb  0.856  0.322  0.178

Properties
Calculated formation energy ... -0.090 eV per atom
SG ... No. 72


Below is an optimized crystal structure of LiTlH2Br, with properties calculated at the GGA-PBE level.

Unit cell a=3.660 b=4.256 c=6.785 alpha=106.84 beta=105.13 gamma=93.08
Fractional coordinates of all 5 atoms:
Li  0.000  0.000  0.000
Tl  0.301  0.151  0.578
H  0.554  0.090  0.107
H  0.842  0.930  0.706
Br  0.547  0.584  0.103

Properties
SG ... No. 1


Below is an optimized crystal structure of ThTl2Cl8, with properties calculated at the GGA-PBE level.

Unit cell a=8.532 b=8.532 c=6.881 alpha=103.89 beta=103.89 gamma=93.54
Fractional coordinates of all 11 atoms:
Th  0.000  0.000  0.000
Tl  0.305  0.305  0.825
Tl  0.695  0.695  0.175
Cl  0.024  0.726  0.134
Cl  0.182  0.182  0.368
Cl  0.274  0.976  0.866
Cl  0.473  0.473  0.217
Cl  0.527  0.527  0.783
Cl  0.726  0.024  0.134
Cl  0.818  0.818  0.632
Cl  0.976  0.274  0.866

Properties
Formation energy from raw total energies ... -1.289 eV/atom
SG ... No. 12


Below is an optimized crystal structure of Pa2GaFe2, with properties calculated at the GGA-PBE level.

Unit cell a=5.086 b=5.086 c=5.086 alpha=130.35 beta=113.76 gamma=87.12
Fractional coordinates of all 5 atoms:
Pa  0.196  0.196  0.000
Pa  0.804  0.804  0.000
Ga  0.500  0.000  0.500
Fe  0.256  0.500  0.756
Fe  0.744  0.500  0.244

Properties
Calculated formation energy ... -0.342 eV per atom
SG ... No. 71


Below is an optimized crystal structure of Bi2BBr, with properties calculated at the GGA-PBE level.

Unit cell a=7.176 b=7.176 c=7.176 alpha=123.24 beta=123.24 gamma=84.47
Fractional coordinates of all 8 atoms:
Bi  0.031  0.625  0.906
Bi  0.375  0.281  0.406
Bi  0.719  0.125  0.094
Bi  0.875  0.969  0.594
B  0.000  0.000  0.000
B  0.750  0.250  0.500
Br  0.250  0.750  0.500
Br  0.500  0.500  0.000

Properties
Formation energy from raw total energies ... 0.518 eV/atom
SG ... No. 122


| no. | E_tot (eV per atom) |
| --- | --- |
| 1 | -4.344 |
| 2 | -7.566 |
| 3 | -4.763 |
| 4 | -2.841 |
| 5 | -5.609 |
| 6 | -3.198 |
| 7 | -2.098 |
| 8 | -4.604 |
| 9 | -2.619 |
| 10 | -3.737 |
| 11 | -8.131 |
| 12 | -3.510 |